Record 1
# Hf4MnRh (PBE, relaxed)
# - Energy above the most stable polymorph in this dataset: 172 meV/atom
# - Formation energy from the elements: -0.9 eV per formula unit
data_Hf4MnRh
_cell_length_a 4.435
_cell_length_b 4.435
_cell_length_c 6.334
_cell_angle_alpha 90.00
_cell_angle_beta 90.00
_cell_angle_gamma 90.00
_symmetry_space_group_name_H-M 'P 4/m m m'
_symmetry_Int_Tables_number 123
_symmetry_space_group_name_Hall '-P 4 2'
loop_
_atom_site_label
_atom_site_fract_x
_atom_site_fract_y
_atom_site_fract_z
Hf1 0.000 0.500 0.238
Mn1 0.000 0.000 0.000
Rh1 0.500 0.500 0.500

Record 2
# TiGaS2 (PBE, relaxed)
# - Uncorrected formation energy: -0.320 eV/atom
data_TiGaS2
_cell_length_a 3.5079
_cell_length_b 3.5079
_cell_length_c 22.4730
_cell_angle_alpha 90.00
_cell_angle_beta 90.00
_cell_angle_gamma 120.00
_symmetry_space_group_name_H-M 'R -3 m'
_symmetry_Int_Tables_number 166
_symmetry_space_group_name_Hall '-R 3 2"'
loop_
_atom_site_label
_atom_site_fract_x
_atom_site_fract_y
_atom_site_fract_z
Ti1 0.0000 0.0000 0.0000
Ga1 0.0000 0.0000 0.5000
S1 0.0000 0.0000 0.1035

Record 3
# Be2InMo (PBE, relaxed)
# - Formation energy from the elements: 2.6 eV per formula unit
data_Be2InMo
_cell_length_a 6.552
_cell_length_b 6.552
_cell_length_c 5.459
_cell_angle_alpha 90.00
_cell_angle_beta 90.00
_cell_angle_gamma 90.00
_symmetry_space_group_name_H-M 'I -4 2 d'
_symmetry_Int_Tables_number 122
_symmetry_space_group_name_Hall 'I -4 2bw'
loop_
_atom_site_label
_atom_site_fract_x
_atom_site_fract_y
_atom_site_fract_z
Be1 0.241 0.250 0.125
In1 0.000 0.000 0.500
Mo1 0.000 0.000 0.000

Record 4
# Pr4SmEr6 (PBE, relaxed)
# - Energy above the most stable polymorph in this dataset: 0 meV/atom
# - Formation energy from the elements: 1.7 eV per formula unit
data_Pr4SmEr6
_cell_length_a 11.0323
_cell_length_b 11.0323
_cell_length_c 3.5327
_cell_angle_alpha 90.00
_cell_angle_beta 90.00
_cell_angle_gamma 120.00
_symmetry_space_group_name_H-M 'P -6 m 2'
_symmetry_Int_Tables_number 187
_symmetry_space_group_name_Hall 'P -6 2'
loop_
_atom_site_label
_atom_site_fract_x
_atom_site_fract_y
_atom_site_fract_z
Pr1 0.0000 0.0000 0.0000
Pr2 0.0621 0.5311 0.5000
Sm1 0.6667 0.3333 0.0000
Er1 0.1623 0.3245 0.0000
Er2 0.3277 0.1638 0.5000

Record 5
# AlSi2Au (PBE, relaxed)
# - Uncorrected formation energy: 0.106 eV/atom
data_AlSi2Au
_cell_length_a 5.220
_cell_length_b 9.912
_cell_length_c 3.688
_cell_angle_alpha 90.00
_cell_angle_beta 134.89
_cell_angle_gamma 90.00
_symmetry_space_group_name_H-M 'C 1 2/m 1'
_symmetry_Int_Tables_number 12
_symmetry_space_group_name_Hall '-C 2y'
loop_
_atom_site_label
_atom_site_fract_x
_atom_site_fract_y
_atom_site_fract_z
Al1 0.000 0.000 0.000
Si1 0.250 0.250 0.000
Au1 0.000 0.500 0.000

Record 6
# SrLi2Au4 (PBE, relaxed)
# - Energy above the most stable polymorph in this dataset: 81 meV/atom
# - Formation energy from the elements: -3.5 eV per formula unit
data_SrLi2Au4
_cell_length_a 3.489
_cell_length_b 4.659
_cell_length_c 18.333
_cell_angle_alpha 90.00
_cell_angle_beta 90.00
_cell_angle_gamma 90.00
_symmetry_space_group_name_H-M 'I m m m'
_symmetry_Int_Tables_number 71
_symmetry_space_group_name_Hall '-I 2 2'
loop_
_atom_site_label
_atom_site_fract_x
_atom_site_fract_y
_atom_site_fract_z
Sr1 0.000 0.000 0.000
Li1 0.000 0.500 0.192
Au1 0.000 0.000 0.423
Au2 0.000 0.500 0.336

| no. | D(E_F) (states/eV/f.u.) | total magnetization (μB/f.u.) |
| --- | --- | --- |
| 1 | 6.2 | 0.00 |
| 2 | 4.7 | 0.00 |
| 3 | 3.0 | 0.00 |
| 4 | 15.8 | 0.00 |
| 5 | 1.2 | 0.00 |
| 6 | 1.5 | 0.00 |